{"formula": "Nd12Sm7Ho", "functional": "PBE", "state": "optimized geometry", "polymorph_energy_mev_per_atom": 52, "sg": "R-3", "cell": [[9.467, 5.466, 2.303], [-9.467, 5.466, 2.303], [0.000, -10.932, 2.303]], "species": ["Nd", "Nd", "Nd", "Nd", "Nd", "Nd", "Nd", "Nd", "Nd", "Nd", "Nd", "Nd", "Sm", "Sm", "Sm", "Sm", "Sm", "Sm", "Sm", "Ho"], "frac_coords": [[0.077, 0.290, 0.503], [0.204, 0.748, 0.271], [0.252, 0.729, 0.796], [0.271, 0.204, 0.748], [0.290, 0.503, 0.077], [0.497, 0.923, 0.710], [0.503, 0.077, 0.290], [0.710, 0.497, 0.923], [0.729, 0.796, 0.252], [0.748, 0.271, 0.204], [0.796, 0.252, 0.729], [0.923, 0.710, 0.497], [0.072, 0.376, 0.214], [0.214, 0.072, 0.376], [0.376, 0.214, 0.072], [0.500, 0.500, 0.500], [0.624, 0.786, 0.928], [0.786, 0.928, 0.624], [0.928, 0.624, 0.786], [0.000, 0.000, 0.000]]}

=====

{"formula": "CeNp2Be2S6", "functional": "PBE", "state": "optimized geometry", "raw_formation_energy_ev_per_atom": -1.088, "sg": "P-3", "cell": [[6.879, 0.000, 0.000], [-3.440, 5.958, 0.000], [0.000, 0.000, 6.178]], "species": ["Ce", "Np", "Np", "Be", "Be", "S", "S", "S", "S", "S", "S"], "frac_coords": [[0.000, 0.000, 0.000], [0.333, 0.667, 0.899], [0.667, 0.333, 0.101], [0.333, 0.667, 0.349], [0.667, 0.333, 0.651], [0.062, 0.375, 0.244], [0.313, 0.938, 0.244], [0.375, 0.313, 0.756], [0.625, 0.687, 0.244], [0.687, 0.062, 0.756], [0.938, 0.625, 0.756]]}

=====

{"formula": "EuDy2Al", "functional": "PBE", "state": "optimized geometry", "polymorph_energy_mev_per_atom": 47, "sg": "P4/mmm", "cell": [[4.881, 0.000, 0.000], [0.000, 4.881, 0.000], [0.000, 0.000, 4.719]], "species": ["Eu", "Dy", "Dy", "Al"], "frac_coords": [[0.000, 0.000, 0.000], [0.000, 0.500, 0.500], [0.500, 0.000, 0.500], [0.500, 0.500, 0.000]]}

=====

{"formula": "Tl2BiPd6", "functional": "PBE", "state": "optimized geometry", "energy_ev_per_fu": -41.08, "sg": "C2/m", "cell": [[4.493, -2.152, 0.000], [4.493, 2.152, 0.000], [-1.807, 0.000, 8.577]], "species": ["Tl", "Tl", "Bi", "Pd", "Pd", "Pd", "Pd", "Pd", "Pd"], "frac_coords": [[0.199, 0.199, 0.260], [0.801, 0.801, 0.740], [0.500, 0.500, 0.000], [0.152, 0.152, 0.561], [0.164, 0.164, 0.897], [0.480, 0.480, 0.662], [0.520, 0.520, 0.338], [0.836, 0.836, 0.103], [0.848, 0.848, 0.439]]}

=====

D(E_F)
In order: 24.97, 22.80, 3.91, 4.56
Unit: states/eV/cell